# 1
# PBE-GGA BeGaFe2, optimized geometry
data_BeGaFe2
_cell_length_a 5.557
_cell_length_b 5.557
_cell_length_c 5.557
_cell_angle_alpha 90.00
_cell_angle_beta 90.00
_cell_angle_gamma 90.00
_space_group_name_H-M_alt 'P m -3 m'
_space_group_IT_number 221
_space_group_name_Hall '-P 4 2 3'
loop_
_atom_site_label
_atom_site_type_symbol
_atom_site_fract_x
_atom_site_fract_y
_atom_site_fract_z
Be1 Be 0.000 0.000 0.000
Be2 Be 0.000 0.000 0.500
Ga1 Ga 0.000 0.500 0.500
Ga2 Ga 0.500 0.500 0.500
Fe1 Fe 0.232 0.232 0.232
# Total DFT energy (no corrections): -23.7 eV/f.u.

=====

# 2
# PBE-GGA BeGaFe, optimized geometry
data_BeGaFe
_cell_length_a 5.476
_cell_length_b 5.476
_cell_length_c 5.476
_cell_angle_alpha 90.00
_cell_angle_beta 90.00
_cell_angle_gamma 90.00
_space_group_name_H-M_alt 'F -4 3 m'
_space_group_IT_number 216
_space_group_name_Hall 'F -4 2 3'
loop_
_atom_site_label
_atom_site_type_symbol
_atom_site_fract_x
_atom_site_fract_y
_atom_site_fract_z
Be1 Be 0.000 0.000 0.000
Ga1 Ga 0.000 0.000 0.500
Fe1 Fe 0.250 0.250 0.250
# Total DFT energy (no corrections): -14.0 eV/f.u.

=====

# 3
# PBE-GGA HfBeGaFe, optimized geometry
data_HfBeGaFe
_cell_length_a 6.006
_cell_length_b 6.006
_cell_length_c 6.006
_cell_angle_alpha 90.00
_cell_angle_beta 90.00
_cell_angle_gamma 90.00
_space_group_name_H-M_alt 'F -4 3 m'
_space_group_IT_number 216
_space_group_name_Hall 'F -4 2 3'
loop_
_atom_site_label
_atom_site_type_symbol
_atom_site_fract_x
_atom_site_fract_y
_atom_site_fract_z
Hf1 Hf 0.000 0.000 0.000
Be1 Be 0.250 0.250 0.250
Ga1 Ga 0.000 0.000 0.500
Fe1 Fe 0.250 0.250 0.750
# Total DFT energy (no corrections): -25.6 eV/f.u.

=====

# 4
# PBE-GGA HfBeGaFe, optimized geometry
data_HfBeGaFe
_cell_length_a 5.996
_cell_length_b 5.996
_cell_length_c 5.996
_cell_angle_alpha 90.00
_cell_angle_beta 90.00
_cell_angle_gamma 90.00
_space_group_name_H-M_alt 'F -4 3 m'
_space_group_IT_number 216
_space_group_name_Hall 'F -4 2 3'
loop_
_atom_site_label
_atom_site_type_symbol
_atom_site_fract_x
_atom_site_fract_y
_atom_site_fract_z
Hf1 Hf 0.000 0.000 0.000
Be1 Be 0.250 0.250 0.750
Ga1 Ga 0.250 0.250 0.250
Fe1 Fe 0.000 0.000 0.500
# Total DFT energy (no corrections): -25.3 eV/f.u.